No. 1
Below is a relaxed BaNdH3 crystal, with properties calculated at the PBE level.

POSCAR file:
```
BaNdH3
1.0
4.577 0.000 0.000
0.000 4.577 0.000
0.000 0.000 4.577
H Nd Ba
3 1 1
Direct
0.000 0.500 0.000 H
0.000 0.000 0.500 H
0.500 0.000 0.000 H
0.000 0.000 0.000 Nd
0.500 0.500 0.500 Ba
```

Properties
Total magnetic moment ... 0.201 μB/atom
V ... 19.17 Å³ per atom
Final energy ... -18.36 eV per cell
Symmetry ... No. 221

No. 2
Below is a relaxed Ba4CrAs crystal, with properties calculated at the PBE level.

POSCAR file:
```
Ba4CrAs
1.0
0.000 5.031 5.031
5.031 0.000 5.031
5.031 5.031 0.000
Ba Cr As
4 1 1
Direct
0.879 0.374 0.374 Ba
0.374 0.374 0.879 Ba
0.374 0.879 0.374 Ba
0.374 0.374 0.374 Ba
0.750 0.750 0.750 Cr
0.000 0.000 0.000 As
```

Properties
Total magnetic moment ... 0.702 μB/atom
V ... 42.44 Å³ per atom
Final energy ... -17.99 eV per cell
Symmetry ... No. 216
Formation energy from the elements ... 0.66 eV/atom

No. 3
Below is a relaxed K2Na15Tl2 crystal, with properties calculated at the PBE level.

POSCAR file:
```
K2Na15Tl2
1.0
8.884 -0.957 1.916
1.341 8.834 1.916
-1.242 -0.957 9.003
K Na Tl
2 15 2
Direct
0.866 0.866 0.866 K
0.134 0.134 0.134 K
0.000 0.500 0.000 Na
0.000 0.000 0.500 Na
0.500 0.000 0.000 Na
0.352 0.000 0.648 Na
0.648 0.352 0.000 Na
0.000 0.648 0.352 Na
0.352 0.648 0.000 Na
0.000 0.352 0.648 Na
0.648 0.000 0.352 Na
0.342 0.787 0.342 Na
0.342 0.342 0.787 Na
0.787 0.342 0.342 Na
0.658 0.213 0.658 Na
0.658 0.658 0.213 Na
0.213 0.658 0.658 Na
0.618 0.618 0.618 Tl
0.382 0.382 0.382 Tl
```

Properties
Total magnetic moment ... 0.000 μB/atom
V ... 39.75 Å³ per atom
Final energy ... -25.51 eV per cell
Symmetry ... No. 166
Formation energy from the elements ... 0.06 eV/atom

No. 4
Below is a relaxed PmSmC crystal, with properties calculated at the PBE level.

POSCAR file:
```
PmSmC
1.0
-1.380 2.859 -1.501
0.696 -2.858 -6.082
-10.969 -4.776 0.988
Pm Sm C
4 4 4
Direct
0.250 0.421 0.252 Pm
0.250 0.921 0.248 Pm
0.750 0.579 0.748 Pm
0.750 0.079 0.752 Pm
0.250 0.218 0.000 Sm
0.750 0.282 0.500 Sm
0.750 0.782 0.000 Sm
0.250 0.718 0.500 Sm
0.750 0.580 0.370 C
0.750 0.080 0.130 C
0.250 0.920 0.870 C
0.250 0.420 0.630 C
```

Properties
Total magnetic moment ... 0.000 μB/atom
V ... 23.73 Å³ per atom
Energy above the lowest structure with this stoichiometry ... 171 meV/atom
Final energy ... -74.54 eV per cell
Symmetry ... No. 62
Formation energy from the elements ... 0.02 eV/atom

No. 5
Below is a relaxed LaOs2 crystal, with properties calculated at the PBE level.

POSCAR file:
```
LaOs2
1.0
-1.362 3.469 7.213
-5.992 -0.512 -5.454
-1.122 -3.731 1.583
La Os
3 6
Direct
0.000 0.000 0.500 La
0.333 0.667 0.000 La
0.667 0.333 0.000 La
0.000 0.259 0.000 Os
0.000 0.393 0.500 Os
0.259 0.000 0.000 Os
0.741 0.741 0.000 Os
0.393 0.000 0.500 Os
0.607 0.607 0.500 Os
```

Properties
Total magnetic moment ... 0.000 μB/atom
V ... 26.67 Å³ per atom
Final energy ... -75.07 eV per cell
Symmetry ... No. 189
Formation energy from the elements ... 0.79 eV/atom

No. 6
Below is a relaxed ReMo8 crystal, with properties calculated at the PBE level.

POSCAR file:
```
ReMo8
1.0
3.139 -4.798 2.006
-2.001 5.215 2.387
-5.378 -2.734 -0.711
Re Mo
1 8
Direct
0.000 0.000 0.000 Re
0.669 0.000 0.669 Mo
0.331 0.000 0.331 Mo
0.000 0.669 0.669 Mo
0.665 0.665 0.330 Mo
0.335 0.665 0.000 Mo
0.000 0.331 0.331 Mo
0.665 0.335 0.000 Mo
0.335 0.335 0.670 Mo
```

Properties
Total magnetic moment ... 0.000 μB/atom
V ... 16.06 Å³ per atom
Energy above the lowest structure with this stoichiometry ... 314 meV/atom
Final energy ... -96.26 eV per cell
Symmetry ... No. 139
Formation energy from the elements ... 0.31 eV/atom

Question: What is the V in the sixth record?
Answer: 16.06 Å³ per atom